# 1
Hg2SbTe: relaxed, PBE.

The total energy comes out at -1.874 eV per atom. As for the calculated density: 9.4 Mg/m³.

Cell lengths 8.667, 3.139, 8.453 Å; angles 90.00, 90.71, 90.00 degrees
Space group Cm (No. 8)
Unique sites:
Hg 0.000 0.000 0.000
Hg 0.236 0.500 0.230
Sb 0.271 0.000 0.765
Te 0.485 0.000 0.499

***

# 2
HgSb4Te7: relaxed, PBE.

The total energy comes out at -3.337 eV per atom. As for the calculated density: 6.7 Mg/m³.

Cell lengths 4.3738, 4.3738, 23.7694 Å; angles 90.00, 90.00, 120.00 degrees
Space group P-3m1 (No. 164)
Unique sites:
Hg 0.0000 0.0000 0.0000
Sb 0.3333 0.6667 0.1557
Sb 0.3333 0.6667 0.4171
Te 0.0000 0.0000 0.2264
Te 0.0000 0.0000 0.5000
Te 0.3333 0.6667 0.6542
Te 0.3333 0.6667 0.9261

***

# 3
Hg2SbTe2: relaxed, PBE.

The total energy comes out at -2.037 eV per atom. As for the calculated density: 8.7 Mg/m³.

Cell lengths 4.152, 4.152, 17.314 Å; angles 90.00, 90.00, 90.00 degrees
Space group I4/mmm (No. 139)
Unique sites:
Hg 0.000 0.500 0.250
Sb 0.000 0.000 0.000
Te 0.000 0.000 0.409

***

# 4
HgSbTe: relaxed, PBE.

The total energy comes out at -2.448 eV per atom. As for the calculated density: 6.5 Mg/m³.

Cell lengths 14.661, 3.953, 9.391 Å; angles 90.00, 122.33, 90.00 degrees
Space group C2/m (No. 12)
Unique sites:
Hg 0.210 0.000 0.072
Sb 0.169 0.000 0.345
Te 0.008 0.500 0.261

***

# 5
Hg2SbTe: relaxed, PBE.

The total energy comes out at -1.736 eV per atom. As for the calculated density: 9.8 Mg/m³.

Cell lengths 3.3956, 3.3956, 33.1508 Å; angles 90.00, 90.00, 120.00 degrees
Space group R-3m (No. 166, hexagonal axes)
Unique sites:
Hg 0.0000 0.0000 0.2467
Sb 0.0000 0.0000 0.5000
Te 0.0000 0.0000 0.0000

***

# 6
Hg2SbTe2: relaxed, PBE.

The total energy comes out at -2.119 eV per atom. As for the calculated density: 7.9 Mg/m³.

Cell lengths 8.726, 8.726, 4.308 Å; angles 90.00, 90.00, 90.00 degrees
Space group P4/mbm (No. 127)
Unique sites:
Hg 0.110 0.390 0.000
Sb 0.000 0.000 0.500
Te 0.232 0.732 0.500

***

# 7
HgSbTe: relaxed, PBE.

The total energy comes out at -2.339 eV per atom. As for the calculated density: 8.7 Mg/m³.

Cell lengths 3.798, 5.633, 16.044 Å; angles 90.00, 90.00, 90.00 degrees
Space group Fmm2 (No. 42)
Unique sites:
Hg 0.000 0.000 0.000
Sb 0.000 0.000 0.327
Te 0.000 0.000 0.677

***

# 8
Hg2SbTe: relaxed, PBE.

The total energy comes out at -1.793 eV per atom. As for the calculated density: 9.7 Mg/m³.

Cell lengths 3.864, 5.060, 11.360 Å; angles 90.00, 90.00, 90.00 degrees
Space group Cmmm (No. 65)
Unique sites:
Hg 0.000 0.000 0.239
Sb 0.000 0.500 0.000
Te 0.000 0.500 0.500

***

| no. | total magnetization (μB per formula unit) |
| --- | --- |
| 1 | 0.000 |
| 2 | 0.000 |
| 3 | 0.000 |
| 4 | 0.000 |
| 5 | 0.000 |
| 6 | 0.000 |
| 7 | 0.000 |
| 8 | 0.000 |